1) GGA-PBE Pm6Nd12Dy, relaxed; magnetic moment = 0.00 μB/atom; symmetry = R-3m, No. 166
1.0
8.2589 4.7683 2.8735
-8.2589 4.7683 2.8735
0.0000 -9.5365 2.8735
Pm Nd Dy
6 12 1
Cartesian
-6.1933 -3.5757 4.4856
0.0000 -7.1514 4.1350
-6.1933 3.5757 4.1350
6.1933 -3.5757 4.4856
0.0000 7.1514 4.4856
6.1933 3.5757 4.1350
-3.1428 -4.0931 2.8735
-5.1161 -0.6752 2.8735
0.0000 -3.4422 3.0043
-2.9810 1.7211 3.0043
3.1428 -4.0931 2.8735
-1.9733 4.7683 2.8735
-2.9810 -1.7211 5.6162
2.9810 1.7211 3.0043
5.1161 -0.6752 2.8735
1.9733 4.7683 2.8735
2.9810 -1.7211 5.6162
0.0000 3.4422 5.6162
0.0000 0.0000 4.3103

---

2) GGA-PBE Pm6Nd12Dy, relaxed; magnetic moment = 0.00 μB/atom; symmetry = R-3, No. 148
1.0
6.1483 3.5497 5.1277
-6.1483 3.5497 5.1277
0.0000 -7.0995 5.1277
Pm Nd Dy
6 12 1
Cartesian
-2.4352 -2.5828 7.9852
-3.4543 0.8175 7.3979
1.0192 -3.4003 7.3979
-1.0192 3.4003 7.9852
3.4543 -0.8175 7.9852
2.4352 2.5828 7.3979
-1.5020 -5.5147 6.4114
-5.5269 -1.4565 8.9717
-1.0297 -1.8389 4.7640
-4.0248 4.0582 6.4114
-1.0777 1.8112 4.7640
2.1073 0.0277 4.7640
-2.1073 -0.0277 10.6191
1.0777 -1.8112 10.6191
4.0249 -4.0582 8.9717
1.0297 1.8389 10.6191
5.5269 1.4565 6.4114
1.5020 5.5147 8.9717
0.0000 0.0000 7.6916

---

Result of the stability comparison: 1) is the least stable of them.

---

1) GGA-PBE Pm2NdDy3, relaxed; magnetic moment = 0.00 μB/atom; symmetry = Cmc2_1, No. 36
1.0
4.7696 -6.6234 0.0000
4.7696 6.6234 0.0000
0.0000 0.0000 6.4205
Pm Nd Dy
4 2 6
Cartesian
1.7279 0.7817 0.0000
1.7279 -0.7817 3.2103
7.8113 0.7817 0.0000
7.8113 -0.7817 3.2103
4.7696 2.3207 4.6449
4.7696 -2.3207 1.4346
3.0278 4.0511 0.2653
6.5114 4.0511 0.2653
4.7696 1.0943 1.5960
4.7696 -1.0943 4.8062
3.0278 -4.0511 3.4755
6.5114 -4.0511 3.4755

---

2) GGA-PBE Pm2NdDy3, relaxed; magnetic moment = 0.00 μB/atom; symmetry = C2/m, No. 12
1.0
11.6862 -1.7604 0.0000
11.6862 1.7604 0.0000
-3.2847 0.0000 9.8249
Pm Nd Dy
4 2 6
Cartesian
1.1152 0.0000 1.3694
5.1544 0.0000 6.1690
14.9333 0.0000 3.6559
18.9725 0.0000 8.4555
4.1641 0.0000 9.4604
15.9235 0.0000 0.3645
-0.9043 0.0000 7.4830
6.1962 0.0000 2.8002
8.4845 0.0000 5.4446
11.6032 0.0000 4.3803
13.8914 0.0000 7.0247
20.9920 0.0000 2.3419

---

Result of the stability comparison: 1) is the least stable of them.

---

1) GGA-PBE Pm2Nd5Dy4, relaxed; magnetic moment = 0.00 μB/atom; symmetry = C2/m, No. 12
1.0
8.9379 -1.7827 0.0000
8.9379 1.7827 0.0000
-0.8191 0.0000 11.7114
Pm Nd Dy
2 5 4
Cartesian
3.5771 0.0000 4.1252
13.4796 0.0000 7.5862
0.0000 0.0000 0.0000
5.0264 0.0000 10.8916
6.8463 0.0000 5.4364
10.2104 0.0000 6.2751
12.0303 0.0000 0.8198
1.8507 0.0000 9.3378
7.7388 0.0000 8.6770
9.3180 0.0000 3.0344
15.2061 0.0000 2.3736

---

2) GGA-PBE Pm2Nd5Dy4, relaxed; magnetic moment = 0.00 μB/atom; symmetry = Immm, No. 71
1.0
-1.7746 4.6114 11.8118
1.7746 -4.6114 11.8118
1.7746 4.6114 -11.8118
Pm Nd Dy
2 5 4
Cartesian
0.0000 0.0000 5.4634
0.0000 0.0000 18.1601
1.7746 2.7733 -3.4204
1.7746 2.7733 3.4204
0.0000 4.6114 0.0000
0.0000 1.8381 8.3913
0.0000 1.8381 15.2322
0.0000 0.0000 2.2775
1.7746 1.7322 0.0000
0.0000 2.8793 11.8118
0.0000 0.0000 21.3460

---

Result of the stability comparison: 2) is the least stable of them.

---

1) GGA-PBE Pm3Nd2Dy8, relaxed; magnetic moment = 0.00 μB/atom; symmetry = C2/m, No. 12
1.0
10.2843 -3.8475 0.0000
10.2843 3.8475 0.0000
-0.0020 0.0000 5.6241
Pm Nd Dy
3 2 8
Cartesian
0.0000 0.0000 0.0000
10.2833 1.6029 2.8121
10.2833 -1.6029 2.8121
4.9628 0.0000 5.6206
15.6038 0.0000 0.0036
2.6978 0.0000 2.8111
8.0756 1.6207 5.6233
6.8871 0.0000 2.8095
12.4910 1.6207 0.0008
8.0756 -1.6207 5.6233
13.6795 0.0000 2.8146
12.4910 -1.6207 0.0008
17.8688 0.0000 2.8130

---

2) GGA-PBE Pm3Nd2Dy8, relaxed; magnetic moment = 0.00 μB/atom; symmetry = C2/m, No. 12
1.0
10.4401 -2.5413 0.0000
10.4401 2.5413 0.0000
-0.6143 0.0000 8.0046
Pm Nd Dy
3 2 8
Cartesian
0.0000 0.0000 0.0000
9.2077 0.0000 5.5478
11.0581 0.0000 2.4568
4.3012 0.0000 6.7668
15.9647 0.0000 1.2378
1.2289 0.0000 4.9145
3.0769 0.0000 1.8652
6.1414 0.0000 3.6859
7.9849 0.0000 0.6261
12.2810 0.0000 7.3786
14.1245 0.0000 4.3188
17.1890 0.0000 6.1395
19.0369 0.0000 3.0901

---

Result of the stability comparison: 1) is the least stable of them.